(1)
# Pm12Si5C2

Pm12Si5C2 after structural relaxation (GGA-PBE, Alexandria via LeMat-Bulk).

Cell: 7.457 9.008 9.244 Å, 104.56 90.00 114.45°
Element x y z (fractional)
Si1 0.318 0.635 0.167
Si2 0.000 0.000 0.500
Si3 0.682 0.365 0.833
Si4 0.696 0.391 0.353
Si5 0.304 0.609 0.647
Pm1 0.602 0.703 0.433
Pm2 0.095 0.678 0.913
Pm3 0.502 0.004 0.196
Pm4 0.583 0.678 0.913
Pm5 0.398 0.297 0.567
Pm6 0.498 0.996 0.804
Pm7 0.982 0.964 0.175
Pm8 0.101 0.703 0.433
Pm9 0.018 0.036 0.825
Pm10 0.417 0.322 0.087
Pm11 0.905 0.322 0.087
Pm12 0.899 0.297 0.567
C1 0.249 0.000 0.000
C2 0.751 0.000 0.000

Computed properties:
Raw formation energy ... -0.34 eV per atom

(2)
# Ac5Tl4O

Ac5Tl4O after structural relaxation (GGA-PBE, Alexandria via LeMat-Bulk).

Cell: 6.310 7.979 7.979 Å, 81.01 66.71 66.71°
Element x y z (fractional)
Ac1 0.874 0.350 0.893
Ac2 0.469 0.000 0.000
Ac3 0.767 0.107 0.350
Ac4 0.117 0.650 0.107
Ac5 0.224 0.893 0.650
Tl1 0.844 0.703 0.603
Tl2 0.547 0.603 0.297
Tl3 0.447 0.397 0.703
Tl4 0.151 0.297 0.397
O1 0.068 0.000 0.000

Computed properties:
Raw formation energy ... -0.64 eV per atom

(3)
# Ba2Li2ZnO4

Ba2Li2ZnO4 after structural relaxation (GGA-PBE, Alexandria via LeMat-Bulk).

Cell: 3.337 5.926 6.939 Å, 105.26 103.91 90.00°
Element x y z (fractional)
O1 0.529 0.794 0.058
O2 0.471 0.206 0.942
O3 0.221 0.209 0.442
O4 0.779 0.791 0.558
Li1 0.675 0.032 0.351
Li2 0.325 0.968 0.649
Ba1 0.868 0.439 0.736
Ba2 0.132 0.561 0.264
Zn1 0.000 0.000 0.000

Computed properties:
Raw formation energy ... -1.89 eV per atom

(4)
# ZrOsPt4

ZrOsPt4 after structural relaxation (GGA-PBE, Alexandria via LeMat-Bulk).

Cell: 5.227 5.227 5.227 Å, 60.00 60.00 60.00°
Element x y z (fractional)
Os1 0.000 0.000 0.000
Pt1 0.374 0.374 0.877
Pt2 0.877 0.374 0.374
Pt3 0.374 0.374 0.374
Pt4 0.374 0.877 0.374
Zr1 0.750 0.750 0.750

Computed properties:
Energy relative to the elements ... -0.17 eV/atom

(5)
# Tb2Sc3Tc2

Tb2Sc3Tc2 after structural relaxation (GGA-PBE, Alexandria via LeMat-Bulk).

Cell: 4.052 5.767 7.982 Å, 100.80 104.70 110.57°
Element x y z (fractional)
Tb1 0.647 0.492 0.801
Tb2 0.353 0.508 0.199
Sc1 0.500 0.000 0.000
Sc2 0.204 0.835 0.572
Sc3 0.796 0.165 0.428
Tc1 0.058 0.905 0.211
Tc2 0.942 0.095 0.789

Computed properties:
Energy relative to the elements ... -0.14 eV/atom

(6)
# PrHgPb4

PrHgPb4 after structural relaxation (GGA-PBE, Alexandria via LeMat-Bulk).

Cell: 6.457 6.457 6.457 Å, 60.00 60.00 60.00°
Element x y z (fractional)
Pb1 0.123 0.626 0.626
Pb2 0.626 0.626 0.123
Pb3 0.626 0.626 0.626
Pb4 0.626 0.123 0.626
Pr1 0.000 0.000 0.000
Hg1 0.250 0.250 0.250

Computed properties:
Energy relative to the elements ... -0.09 eV/atom

(7)
# CrGe3Ir

CrGe3Ir after structural relaxation (GGA-PBE, Alexandria via LeMat-Bulk).

Cell: 4.808 4.808 4.808 Å, 90.00 90.00 90.00°
Site moments in Bohr magnetons follow the coordinates.
Element x y z (fractional)
Ge1 0.500 0.000 0.000  -0.03
Ge2 0.000 0.000 0.500  -0.14
Ge3 0.000 0.500 0.000  -0.07
Ir1 0.000 0.000 0.000  -0.17
Cr1 0.500 0.500 0.500  3.98

Computed properties:
Energy relative to the elements ... 0.66 eV/atom

(8)
# Y5Ni

Y5Ni after structural relaxation (GGA-PBE, Alexandria via LeMat-Bulk).

Cell: 3.607 6.296 8.361 Å, 69.79 90.00 106.65°
Element x y z (fractional)
Y1 0.357 0.715 0.239
Y2 0.399 0.798 0.819
Y3 0.028 0.056 0.444
Y4 0.656 0.313 0.070
Y5 0.698 0.396 0.650
Ni1 0.028 0.055 0.945

Computed properties:
Energy relative to the elements ... -0.09 eV/atom

(9)
# PrPu2Zn

PrPu2Zn after structural relaxation (GGA-PBE, Alexandria via LeMat-Bulk).

Cell: 3.590 3.590 8.473 Å, 90.00 90.00 90.00°
Site moments in Bohr magnetons follow the coordinates.
Element x y z (fractional)
Zn1 0.500 0.500 0.000  0.03
Pu1 0.000 0.000 0.800  5.46
Pu2 0.000 0.000 0.200  5.46
Pr1 0.500 0.500 0.500  0.07

Computed properties:
Energy relative to the elements ... 0.12 eV/atom

(10)
# DyTm3Mg6

DyTm3Mg6 after structural relaxation (GGA-PBE, Alexandria via LeMat-Bulk).

Cell: 5.238 9.196 11.162 Å, 105.60 90.00 90.00°
Element x y z (fractional)
Mg1 0.750 0.557 0.899
Mg2 0.250 0.855 0.299
Mg3 0.250 0.246 0.492
Mg4 0.750 0.754 0.508
Mg5 0.250 0.657 0.705
Mg6 0.750 0.952 0.099
Mg7 0.250 0.048 0.901
Mg8 0.250 0.146 0.195
Mg9 0.750 0.145 0.701
Mg10 0.750 0.343 0.295
Mg11 0.750 0.854 0.805
Mg12 0.250 0.443 0.101
Tm1 0.250 0.747 0.004
Tm2 0.750 0.454 0.602
Tm3 0.250 0.352 0.798
Tm4 0.750 0.253 0.996
Tm5 0.750 0.648 0.202
Tm6 0.250 0.546 0.398
Dy1 0.250 0.949 0.601
Dy2 0.750 0.051 0.399

Computed properties:
Energy relative to the elements ... -0.05 eV/atom

(11)
# ReAu2Cl

ReAu2Cl after structural relaxation (GGA-PBE, Alexandria via LeMat-Bulk).

Cell: 5.617 5.617 5.617 Å, 139.48 139.48 58.65°
Site moments in Bohr magnetons follow the coordinates.
Element x y z (fractional)
Re1 0.750 0.250 0.500  2.70
Cl1 0.250 0.750 0.500  0.02
Au1 0.000 0.000 0.000  0.09
Au2 0.500 0.500 0.000  0.09

Computed properties:
Raw formation energy ... 1.11 eV per atom

(12)
# Hf2GeW

Hf2GeW after structural relaxation (GGA-PBE, Alexandria via LeMat-Bulk).

Cell: 7.573 7.573 6.028 Å, 51.08 51.08 90.00°
Element x y z (fractional)
Hf1 0.614 0.125 0.250
Hf2 0.875 0.864 0.750
Hf3 0.136 0.625 0.250
Hf4 0.375 0.386 0.750
Ge1 0.250 0.750 0.500
Ge2 0.500 0.500 0.000
W1 0.750 0.250 0.500
W2 0.000 0.000 0.000

Computed properties:
Energy relative to the elements ... 0.51 eV/atom

Number 1: total magnetic moment 0.64 Bohr magnetons per cell. Number 2: total magnetic moment 0.00 Bohr magnetons per cell. Number 3: total magnetic moment 0.00 Bohr magnetons per cell. Number 4: total magnetic moment 0.00 Bohr magnetons per cell. Number 5: total magnetic moment 0.00 Bohr magnetons per cell. Number 6: total magnetic moment 0.00 Bohr magnetons per cell. Number 7: total magnetic moment 3.77 Bohr magnetons per cell. Number 8: total magnetic moment 0.00 Bohr magnetons per cell. Number 9: total magnetic moment 11.87 Bohr magnetons per cell. Number 10: total magnetic moment 0.00 Bohr magnetons per cell. Number 11: total magnetic moment 3.32 Bohr magnetons per cell. Number 12: total magnetic moment 0.00 Bohr magnetons per cell.